Entry from the Alexandria database: TaTeAsSe2 at its PBEsol-relaxed geometry (SCAN).

Computed properties:
The value obtained for the uncorrected formation energy is 1422 meV per atom. The calculation puts the volume at 26.7 A^3/atom. As for the space-group type: P4/mmm.

Cell: 5.0937 5.0937 5.1410 Å, 90.00 90.00 90.00°
With the nearest neighbours (Å) after each atom.
Element x y z (fractional)
Ta1 0.0000 0.0000 0.0000  4 As 3.60, 8 Se 3.62
Te1 0.5000 0.5000 0.5000  4 Se 2.55, 2 As 2.57
As1 0.5000 0.5000 0.0000  2 Te 2.57
Se1 0.0000 0.5000 0.5000  2 Te 2.55
Se2 0.5000 0.0000 0.5000  2 Te 2.55

=====

Entry from the Alexandria database: TaTeAsSe2 at its PBEsol-relaxed geometry (SCAN).

Computed properties:
The value obtained for the uncorrected formation energy is 193 meV per atom. The calculation puts the volume at 24.6 A^3/atom. As for the space-group type: P4/mmm.

Cell: 4.8652 4.8652 5.2039 Å, 90.00 90.00 90.00°
With the nearest neighbours (Å) after each atom.
Element x y z (fractional)
Ta1 0.0000 0.0000 0.0000  4 Se 2.43, 2 As 2.60
Te1 0.5000 0.5000 0.5000  4 As 3.44, 8 Se 3.56
As1 0.0000 0.0000 0.5000  2 Ta 2.60
Se1 0.0000 0.5000 0.0000  2 Ta 2.43
Se2 0.5000 0.0000 0.0000  2 Ta 2.43

=====

Entry from the Alexandria database: TcAsSe2 at its PBEsol-relaxed geometry (SCAN).

Computed properties:
The value obtained for the uncorrected formation energy is 729 meV per atom. The calculation puts the volume at 16.6 A^3/atom. As for the space-group type: Pmmm.

Cell: 3.1706 4.4060 4.7604 Å, 90.00 90.00 90.00°
With the nearest neighbours (Å) after each atom.
Element x y z (fractional)
Tc1 0.0000 0.0000 0.0000  4 Se 2.71, 4 As 2.86
As1 0.5000 0.0000 0.5000  4 Se 2.71, 4 Tc 2.86
Se1 0.0000 0.5000 0.5000  4 As 2.71, 4 Se 2.86
Se2 0.5000 0.5000 0.0000  4 Tc 2.71, 4 Se 2.86

=====

Entry from the Alexandria database: TcAsSe2 at its PBEsol-relaxed geometry (SCAN).

Computed properties:
The value obtained for the uncorrected formation energy is 674 meV per atom. The calculation puts the volume at 16.4 A^3/atom. As for the space-group type: F-43m.

Cell: 4.5253 4.5253 4.5253 Å, 60.00 60.00 60.00°
With the nearest neighbours (Å) after each atom.
Element x y z (fractional)
Tc1 0.0000 0.0000 0.0000  4 As 2.77, 4 Se 2.77
As1 0.7500 0.7500 0.7500  4 Se 2.77, 4 Tc 2.77
Se1 0.2500 0.2500 0.2500  4 Se 2.77, 4 Tc 2.77
Se2 0.5000 0.5000 0.5000  4 As 2.77, 4 Se 2.77

=====

Entry from the Alexandria database: TcAsSe2 at its PBEsol-relaxed geometry (SCAN).

Computed properties:
The value obtained for the uncorrected formation energy is 356 meV per atom. The calculation puts the volume at 22.8 A^3/atom. As for the space-group type: I-42d.

Cell: 6.4039 6.4039 6.4039 Å, 121.22 121.22 87.90°
With the nearest neighbours (Å) after each atom.
Element x y z (fractional)
Tc1 0.0000 0.0000 0.0000  4 Se 2.36
Tc2 0.7500 0.2500 0.5000  4 Se 2.36
As1 0.2500 0.7500 0.5000  4 Se 2.66
As2 0.5000 0.5000 0.0000  4 Se 2.66
Se1 0.0861 0.6250 0.9611  2 Tc 2.36
Se2 0.3750 0.3361 0.4611  2 Tc 2.36
Se3 0.6639 0.1250 0.0389  2 Tc 2.36
Se4 0.8750 0.9139 0.5389  2 Tc 2.36

=====

Entry from the Alexandria database: TiTcAs2Se at its PBEsol-relaxed geometry (SCAN).

Computed properties:
The value obtained for the uncorrected formation energy is 572 meV per atom. The calculation puts the volume at 21.8 A^3/atom. As for the space-group type: P4/mmm.

Cell: 4.7998 4.7998 4.7388 Å, 90.00 90.00 90.00°
With the nearest neighbours (Å) after each atom.
Element x y z (fractional)
Ti1 0.0000 0.0000 0.0000  2 Se 2.37, 4 As 2.40
Tc1 0.5000 0.5000 0.5000  8 As 3.37, 4 Se 3.39
As1 0.0000 0.5000 0.0000  2 Ti 2.40
As2 0.5000 0.0000 0.0000  2 Ti 2.40
Se1 0.0000 0.0000 0.5000  2 Ti 2.37

=====

Entry from the Alexandria database: TcAs2WSe at its PBEsol-relaxed geometry (SCAN).

Computed properties:
The value obtained for the uncorrected formation energy is 1363 meV per atom. The calculation puts the volume at 21.1 A^3/atom. As for the space-group type: P4/mmm.

Cell: 4.6155 4.6155 4.9633 Å, 90.00 90.00 90.00°
With the nearest neighbours (Å) after each atom.
Element x y z (fractional)
Tc1 0.0000 0.0000 0.0000  4 As 2.31, 2 Se 2.48
As1 0.0000 0.5000 0.0000  2 Tc 2.31
As2 0.5000 0.0000 0.0000  2 Tc 2.31
W1 0.5000 0.5000 0.5000  4 Se 3.26, 8 As 3.39
Se1 0.0000 0.0000 0.5000  2 Tc 2.48

=====

Entry from the Alexandria database: YTcAsSe2 at its PBEsol-relaxed geometry (SCAN).

Computed properties:
The value obtained for the uncorrected formation energy is 475 meV per atom. The calculation puts the volume at 29.6 A^3/atom. As for the space-group type: P4/mmm.

Cell: 5.2698 5.2698 5.3306 Å, 90.00 90.00 90.00°
With the nearest neighbours (Å) after each atom.
Element x y z (fractional)
Y1 0.0000 0.0000 0.0000  4 Se 2.63, 2 As 2.67
Tc1 0.5000 0.5000 0.5000  4 As 3.73, 8 Se 3.75
As1 0.0000 0.0000 0.5000  2 Y 2.67
Se1 0.0000 0.5000 0.0000  2 Y 2.63
Se2 0.5000 0.0000 0.0000  2 Y 2.63